[1]
AlPb2Cl: optimized geometry, PBE-GGA.

The space group is F-43m (No. 216) and the conventional cell measures 7.494, 7.494 and 7.494 Å, with angles of 90.00, 90.00 and 90.00 degrees. The asymmetric unit holds Al at (0.000, 0.000, 0.000), Pb at (0.000, 0.000, 0.500), Pb at (0.250, 0.250, 0.250) and Cl at (0.250, 0.250, 0.750).

The calculation puts the total magnetization at 0.00 Bohr magnetons per cell. Its energy relative to the elements, uncorrected is -4 kJ/mol of formula units. The calculation puts the total energy at -52.18 eV/cell. For the density of states at the Fermi level, the calculation gives 0.330 states/eV per atom.



[2]
Al2PbCl: optimized geometry, PBE-GGA.

The space group is I-42d (No. 122) and the conventional cell measures 5.841, 5.841 and 14.365 Å, with angles of 90.00, 90.00 and 90.00 degrees. The asymmetric unit holds Al at (0.231, 0.250, 0.125), Pb at (0.000, 0.000, 0.500) and Cl at (0.000, 0.000, 0.000).

The calculation puts the total magnetization at 0.00 Bohr magnetons per cell. Its energy relative to the elements, uncorrected is 75 kJ/mol of formula units. The calculation puts the total energy at -49.06 eV/cell. For the density of states at the Fermi level, the calculation gives 0.446 states/eV per atom.



[3]
AlPb2Cl: optimized geometry, PBE-GGA.

The space group is Pm (No. 6) and the conventional cell measures 3.471, 5.497 and 5.783 Å, with angles of 90.00, 101.13 and 90.00 degrees. The asymmetric unit holds Al at (0.000, 0.000, 0.000), Pb at (0.485, 0.500, 0.988), Pb at (0.658, 0.000, 0.460) and Cl at (0.259, 0.500, 0.488).

The calculation puts the total magnetization at 0.00 Bohr magnetons per cell. Its energy relative to the elements, uncorrected is -54 kJ/mol of formula units. The calculation puts the total energy at -13.57 eV/cell. For the density of states at the Fermi level, the calculation gives 0.300 states/eV per atom.



[4]
AlPb4Cl: optimized geometry, PBE-GGA.

The space group is F-43m (No. 216) and the conventional cell measures 9.141, 9.141 and 9.141 Å, with angles of 90.00, 90.00 and 90.00 degrees. The asymmetric unit holds Al at (0.000, 0.000, 0.000), Pb at (0.125, 0.125, 0.375) and Cl at (0.250, 0.250, 0.750).

The calculation puts the total magnetization at 0.00 Bohr magnetons per cell. Its energy relative to the elements, uncorrected is 119 kJ/mol of formula units. The calculation puts the total energy at -76.78 eV/cell. For the density of states at the Fermi level, the calculation gives 1.026 states/eV per atom.



[5]
Al2PbCl: optimized geometry, PBE-GGA.

The space group is Cmmm (No. 65) and the conventional cell measures 3.290, 5.772 and 9.740 Å, with angles of 90.00, 90.00 and 90.00 degrees. The asymmetric unit holds Al at (0.000, 0.000, 0.221), Pb at (0.000, 0.500, 0.500) and Cl at (0.000, 0.500, 0.000).

The calculation puts the total magnetization at 0.00 Bohr magnetons per cell. Its energy relative to the elements, uncorrected is 18 kJ/mol of formula units. The calculation puts the total energy at -25.71 eV/cell. For the density of states at the Fermi level, the calculation gives 0.635 states/eV per atom.



[6]
AlPb2Cl: optimized geometry, PBE-GGA.

The space group is P2/m (No. 10) and the conventional cell measures 3.528, 3.512 and 8.531 Å, with angles of 90.00, 94.14 and 90.00 degrees. The asymmetric unit holds Al at (0.000, 0.000, 0.000), Pb at (0.455, 0.500, 0.764) and Cl at (0.000, 0.000, 0.500).

The calculation puts the total magnetization at 0.00 Bohr magnetons per cell. Its energy relative to the elements, uncorrected is -64 kJ/mol of formula units. The calculation puts the total energy at -13.67 eV/cell. For the density of states at the Fermi level, the calculation gives 0.467 states/eV per atom.



[7]
AlPb2Cl: optimized geometry, PBE-GGA.

The space group is Pmmm (No. 47) and the conventional cell measures 3.455, 5.236 and 6.116 Å, with angles of 90.00, 90.00 and 90.00 degrees. The asymmetric unit holds Al at (0.000, 0.000, 0.000), Pb at (0.000, 0.500, 0.500), Pb at (0.500, 0.500, 0.000) and Cl at (0.500, 0.000, 0.500).

The calculation puts the total magnetization at 0.00 Bohr magnetons per cell. Its energy relative to the elements, uncorrected is -29 kJ/mol of formula units. The calculation puts the total energy at -13.31 eV/cell. For the density of states at the Fermi level, the calculation gives 0.480 states/eV per atom.



[8]
AlPb2Cl: optimized geometry, PBE-GGA.

The space group is P4mm (No. 99) and the conventional cell measures 3.414, 3.414 and 9.795 Å, with angles of 90.00, 90.00 and 90.00 degrees. The asymmetric unit holds Al at (0.000, 0.000, 0.000), Pb at (0.000, 0.000, 0.510), Pb at (0.500, 0.500, 0.766) and Cl at (0.500, 0.500, 0.145).

The calculation puts the total magnetization at 0.00 Bohr magnetons per cell. Its energy relative to the elements, uncorrected is -51 kJ/mol of formula units. The calculation puts the total energy at -13.54 eV/cell. For the density of states at the Fermi level, the calculation gives 0.094 states/eV per atom.



[9]
Al2PbCl: optimized geometry, PBE-GGA.

The space group is Fm-3m (No. 225) and the conventional cell measures 7.129, 7.129 and 7.129 Å, with angles of 90.00, 90.00 and 90.00 degrees. The asymmetric unit holds Al at (0.250, 0.250, 0.250), Pb at (0.000, 0.000, 0.000) and Cl at (0.000, 0.000, 0.500).

The calculation puts the total magnetization at 0.00 Bohr magnetons per cell. Its energy relative to the elements, uncorrected is 42 kJ/mol of formula units. The calculation puts the total energy at -50.42 eV/cell. For the density of states at the Fermi level, the calculation gives 0.486 states/eV per atom.



[10]
Al2PbCl: optimized geometry, PBE-GGA.

The space group is Pmmm (No. 47) and the conventional cell measures 3.182, 5.185 and 5.574 Å, with angles of 90.00, 90.00 and 90.00 degrees. The asymmetric unit holds Al at (0.000, 0.000, 0.000), Al at (0.500, 0.500, 0.000), Pb at (0.000, 0.500, 0.500) and Cl at (0.500, 0.000, 0.500).

The calculation puts the total magnetization at 0.00 Bohr magnetons per cell. Its energy relative to the elements, uncorrected is 0 kJ/mol of formula units. The calculation puts the total energy at -13.04 eV/cell. For the density of states at the Fermi level, the calculation gives 0.354 states/eV per atom.